No. 1
Computed, not measured: a relaxed CaAl2O4F4 crystal at the PBE level of DFT.

abc: 6.436 6.436 7.971
angles: 93.01 93.01 114.77
Atoms (fractional coordinates):
1 Ca 0.034 0.966 0.750
2 Ca 0.966 0.034 0.250
3 Al 0.000 0.500 0.000
4 Al 0.386 0.614 0.750
5 Al 0.500 0.000 0.500
6 Al 0.614 0.386 0.250
7 O 0.074 0.559 0.778
8 O 0.317 0.608 0.979
9 O 0.392 0.683 0.521
10 O 0.441 0.926 0.722
11 O 0.559 0.074 0.278
12 O 0.608 0.317 0.479
13 O 0.683 0.392 0.021
14 O 0.926 0.441 0.222
15 F 0.039 0.805 0.036
16 F 0.195 0.961 0.464
17 F 0.307 0.316 0.720
18 F 0.316 0.307 0.220
19 F 0.684 0.693 0.780
20 F 0.693 0.684 0.280
21 F 0.805 0.039 0.536
22 F 0.961 0.195 0.964

Calculated values
Space group ... No. 15
E_form (uncorrected) ... -2354 meV/atom


No. 2
Computed, not measured: a relaxed UZnGaPt3 crystal at the PBE level of DFT.

abc: 6.864 6.864 5.662
angles: 90.00 90.00 121.72
Atoms (fractional coordinates):
1 U 0.195 0.805 0.750
2 U 0.805 0.195 0.250
3 Zn 0.439 0.561 0.750
4 Zn 0.561 0.439 0.250
5 Ga 0.134 0.866 0.250
6 Ga 0.866 0.134 0.750
7 Pt 0.210 0.210 0.000
8 Pt 0.210 0.210 0.500
9 Pt 0.335 0.665 0.250
10 Pt 0.665 0.335 0.750
11 Pt 0.790 0.790 0.000
12 Pt 0.790 0.790 0.500

Calculated values
Formation energy from the elements ... -356 meV per atom
Space group ... No. 63


No. 3
Computed, not measured: a relaxed KY4Te crystal at the PBE level of DFT.

abc: 6.754 6.754 6.754
angles: 60.00 60.00 60.00
Atoms (fractional coordinates):
1 K 0.000 0.000 0.000
2 Y 0.375 0.375 0.375
3 Y 0.375 0.375 0.875
4 Y 0.375 0.875 0.375
5 Y 0.875 0.375 0.375
6 Te 0.750 0.750 0.750

Calculated values
Space group ... No. 216
E_form (uncorrected) ... 307 meV/atom


No. 4
Computed, not measured: a relaxed CaZn2Ni crystal at the PBE level of DFT.

abc: 3.235 3.235 6.662
angles: 90.00 90.00 90.00
Atoms (fractional coordinates):
1 Ca 0.000 0.000 0.000
2 Zn 0.500 0.500 0.313
3 Zn 0.500 0.500 0.687
4 Ni 0.000 0.000 0.500

Calculated values
Formation energy from the elements ... -141 meV per atom
Space group ... No. 123


No. 5
Computed, not measured: a relaxed NdPuTlSn crystal at the PBE level of DFT.

abc: 5.453 5.453 5.453
angles: 60.00 60.00 60.00
Atoms (fractional coordinates):
1 Nd 0.000 0.000 0.000
2 Pu 0.500 0.500 0.500
3 Tl 0.250 0.250 0.250
4 Sn 0.750 0.750 0.750

Calculated values
Formation energy from the elements ... -308 meV per atom
Space group ... No. 216


No. 6
Computed, not measured: a relaxed ZrSc3Ni2 crystal at the PBE level of DFT.

abc: 4.488 8.009 6.292
angles: 90.00 90.00 90.00
Atoms (fractional coordinates):
1 Zr 0.000 0.077 0.000
2 Zr 0.000 0.923 0.500
3 Sc 0.000 0.335 0.632
4 Sc 0.000 0.665 0.132
5 Sc 0.500 0.170 0.342
6 Sc 0.500 0.422 0.970
7 Sc 0.500 0.578 0.470
8 Sc 0.500 0.830 0.842
9 Ni 0.000 0.342 0.222
10 Ni 0.000 0.658 0.722
11 Ni 0.500 0.152 0.754
12 Ni 0.500 0.848 0.254

Calculated values
Formation energy from the elements ... -345 meV per atom
Space group ... No. 26


No. 7
Computed, not measured: a relaxed Y4Er7Th crystal at the PBE level of DFT.

abc: 6.778 6.941 8.614
angles: 78.98 76.91 75.86
Atoms (fractional coordinates):
1 Y 0.155 0.272 0.318
2 Y 0.313 0.890 0.668
3 Y 0.687 0.110 0.332
4 Y 0.845 0.728 0.682
5 Er 0.021 0.251 0.973
6 Er 0.180 0.765 0.325
7 Er 0.326 0.391 0.635
8 Er 0.500 0.000 0.000
9 Er 0.674 0.609 0.365
10 Er 0.820 0.235 0.675
11 Er 0.979 0.749 0.027
12 Th 0.500 0.500 0.000

Calculated values
Formation energy from the elements ... 84 meV per atom
Space group ... No. 2


No. 8
Computed, not measured: a relaxed Pu2Tl2CuS6 crystal at the PBE level of DFT.

abc: 6.968 6.968 7.792
angles: 97.04 97.04 124.32
Atoms (fractional coordinates):
1 Pu 0.163 0.837 0.000
2 Pu 0.837 0.163 0.000
3 Tl 0.347 0.653 0.500
4 Tl 0.653 0.347 0.500
5 Cu 0.500 0.500 0.000
6 S 0.071 0.445 0.796
7 S 0.256 0.256 0.162
8 S 0.445 0.071 0.796
9 S 0.555 0.929 0.204
10 S 0.744 0.744 0.838
11 S 0.929 0.555 0.204

Calculated values
Space group ... No. 12
E_form (uncorrected) ... -869 meV/atom


In order of appearance, magnetization = 8.05; 4.64; 0.00; 0.00; 6.21; 0.00; 0.00; 6.98 μB/cell.